[1]
Material: AcMgGa2Rh2
Method: DFT, PBE-GGA
State: relaxed

Output
E_form = -0.71 eV per atom
N(E_F) = 1.7 states/eV/cell
Space-group type = P-3m1, No. 164

a b c (Å): 4.4073 4.4073 7.2041
angles (deg): 90.00 90.00 120.00
With the nearest neighbours (Å) after each atom.
Sites, in units of the cell vectors:
1 Ac 0.0000 0.0000 0.0000  6 Ga 3.34, 6 Rh 3.55, 2 Mg 3.60
2 Mg 0.0000 0.0000 0.5000  6 Rh 2.78, 6 Ga 2.92
3 Ga 0.3333 0.6667 0.3001  4 Rh 2.56-2.57
4 Ga 0.6667 0.3333 0.6999  4 Rh 2.56-2.57
5 Rh 0.3333 0.6667 0.6562  4 Ga 2.56-2.57, 3 Mg 2.78
6 Rh 0.6667 0.3333 0.3438  4 Ga 2.56-2.57, 3 Mg 2.78

---

[2]
Material: Tb2TaTiN5
Method: DFT, PBE-GGA
State: relaxed

Output
E_form (uncorrected) = -12.95 eV per formula unit
N(E_F) = 0.2 states/eV/cell
Space-group type = Cmc2_1, No. 36

a b c (Å): 6.8450 6.8450 10.3106
angles (deg): 90.00 90.00 152.29
With the nearest neighbours (Å) after each atom.
Sites, in units of the cell vectors:
1 Tb 0.1052 0.8948 0.5000  6 N 2.34-2.59
2 Tb 0.1387 0.8613 0.0993  6 N 2.42-2.69
3 Tb 0.8613 0.1387 0.5993  6 N 2.42-2.69
4 Tb 0.8948 0.1052 0.0000  6 N 2.34-2.59
5 Ta 0.2188 0.7812 0.8190  6 N 2.02-2.21
6 Ta 0.7812 0.2188 0.3190  6 N 2.02-2.21
7 Ti 0.4768 0.5232 0.2730  4 N 1.90-2.06
8 Ti 0.5232 0.4768 0.7730  4 N 1.90-2.06
9 N 0.0570 0.9430 0.8609  2 Ti 1.93
10 N 0.2787 0.7213 0.4626  2 Ta 2.21, 3 Tb 2.34-2.42
11 N 0.3101 0.6899 0.1969  2 Ta 2.10, 1 Ti 2.35
12 N 0.3707 0.6293 0.8099  1 Ta 2.02, 1 Ti 2.06
13 N 0.4964 0.5036 0.5921  1 Ti 1.90
14 N 0.5036 0.4964 0.0921  1 Ti 1.90
15 N 0.6293 0.3707 0.3099  1 Ta 2.02, 1 Ti 2.06
16 N 0.6899 0.3101 0.6969  2 Ta 2.10, 1 Ti 2.35
17 N 0.7213 0.2787 0.9626  2 Ta 2.21, 3 Tb 2.34-2.42
18 N 0.9430 0.0570 0.3609  2 Ti 1.93

---

[3]
Material: TbNdSe
Method: DFT, PBE-GGA
State: relaxed

Output
E_form (uncorrected) = -3.04 eV per formula unit
N(E_F) = 8.6 states/eV/cell
Space-group type = Cmce, No. 64
Distance to the lowest polymorph of the same formula = 0.097 eV/atom

a b c (Å): 6.9781 6.9781 7.6289
angles (deg): 90.00 90.00 103.32
With the nearest neighbours (Å) after each atom.
Sites, in units of the cell vectors:
1 Tb 0.2007 0.7993 0.8358  2 Se 2.78-2.92
2 Tb 0.2993 0.7007 0.3358  2 Se 2.78-2.92
3 Tb 0.7007 0.2993 0.6642  2 Se 2.78-2.92
4 Tb 0.7993 0.2007 0.1642  2 Se 2.78-2.92
5 Nd 0.2012 0.2012 0.5000  4 Se 2.99-3.07
6 Nd 0.2988 0.2988 0.0000  4 Se 2.99-3.07
7 Nd 0.7012 0.7012 0.0000  4 Se 2.99-3.07
8 Nd 0.7988 0.7988 0.5000  4 Se 2.99-3.07
9 Se 0.0654 0.9346 0.1950  2 Tb 2.78-2.92, 4 Nd 2.99-3.07
10 Se 0.4346 0.5654 0.6950  2 Tb 2.78-2.92, 4 Nd 2.99-3.07
11 Se 0.5654 0.4346 0.3050  2 Tb 2.78-2.92, 4 Nd 2.99-3.07
12 Se 0.9346 0.0654 0.8050  2 Tb 2.78-2.92, 4 Nd 2.99-3.07